1.
YV2GeOs: relaxed, PBE-GGA.

Cell: 4.617 4.617 5.412 Å, 90.00 90.00 90.00°
Fractional positions:
1 Y 0.000 0.000 0.000
2 V 0.000 0.500 0.500
3 V 0.500 0.000 0.500
4 Ge 0.500 0.500 0.000
5 Os 0.000 0.000 0.500

Output
- total magnetization (μB/f.u.) = 2.54
- formation enthalpy at 0 K (eV per atom) = 0.663
- total DFT energy (no corrections) (eV per atom) = -7.4470
- Fermi-level density of states (states/eV/f.u.) = 6.9



2.
GeOsW3: relaxed, PBE-GGA.

Cell: 4.508 4.508 4.508 Å, 90.00 90.00 90.00°
Fractional positions:
1 Ge 0.000 0.000 0.000
2 Os 0.500 0.500 0.500
3 W 0.000 0.000 0.500
4 W 0.000 0.500 0.000
5 W 0.500 0.000 0.000

Output
- total magnetization (μB/f.u.) = 0.00
- formation enthalpy at 0 K (eV per atom) = 1.913
- total DFT energy (no corrections) (eV per atom) = -9.0284
- Fermi-level density of states (states/eV/f.u.) = 5.2
- energy above the lowest structure with this stoichiometry (meV per atom) = 0



3.
GeOs2W: relaxed, PBE-GGA.

Cell: 2.935 2.935 6.838 Å, 90.00 90.00 90.00°
Fractional positions:
1 Ge 0.000 0.000 0.000
2 Os 0.500 0.500 0.231
3 Os 0.500 0.500 0.769
4 W 0.000 0.000 0.500

Output
- total magnetization (μB/f.u.) = 0.00
- formation enthalpy at 0 K (eV per atom) = 0.123
- total DFT energy (no corrections) (eV per atom) = -9.8841
- Fermi-level density of states (states/eV/f.u.) = 3.9



4.
GeOsW3: relaxed, PBE-GGA.

Cell: 4.777 4.777 4.777 Å, 90.00 90.00 90.00°
Fractional positions:
1 Ge 0.000 0.000 0.000
2 Os 0.500 0.500 0.500
3 W 0.000 0.500 0.500
4 W 0.500 0.000 0.500
5 W 0.500 0.500 0.000

Output
- total magnetization (μB/f.u.) = 0.01
- formation enthalpy at 0 K (eV per atom) = 2.006
- total DFT energy (no corrections) (eV per atom) = -8.9353
- Fermi-level density of states (states/eV/f.u.) = 7.3
- energy above the lowest structure with this stoichiometry (meV per atom) = 93



5.
Ge3OsW: relaxed, PBE-GGA.

Cell: 4.771 4.771 4.771 Å, 90.00 90.00 90.00°
Fractional positions:
1 Ge 0.000 0.000 0.500
2 Ge 0.000 0.500 0.000
3 Ge 0.500 0.000 0.000
4 Os 0.000 0.000 0.000
5 W 0.500 0.500 0.500

Output
- total magnetization (μB/f.u.) = 4.01
- formation enthalpy at 0 K (eV per atom) = 1.326
- total DFT energy (no corrections) (eV per atom) = -6.2813
- Fermi-level density of states (states/eV/f.u.) = 1.9
- energy above the lowest structure with this stoichiometry (meV per atom) = 0



6.
GeOs2W: relaxed, PBE-GGA.

Cell: 6.819 6.819 6.819 Å, 130.93 130.93 71.93°
Fractional positions:
1 Ge 0.000 0.000 0.000
2 Ge 0.750 0.250 0.500
3 Os 0.120 0.625 0.995
4 Os 0.375 0.370 0.495
5 Os 0.630 0.125 0.005
6 Os 0.875 0.880 0.505
7 W 0.250 0.750 0.500
8 W 0.500 0.500 0.000

Output
- total magnetization (μB/f.u.) = 0.00
- formation enthalpy at 0 K (eV per atom) = 1.065
- total DFT energy (no corrections) (eV per atom) = -8.9427
- Fermi-level density of states (states/eV/f.u.) = 1.8



7.
Y2Ge5Os3: relaxed, PBE-GGA.

Cell: 8.490 8.490 8.490 Å, 108.43 85.47 139.71°
Fractional positions:
1 Y 0.141 0.230 0.372
2 Y 0.359 0.730 0.089
3 Y 0.641 0.270 0.911
4 Y 0.859 0.770 0.628
5 Ge 0.042 0.750 0.292
6 Ge 0.086 0.675 0.761
7 Ge 0.250 0.250 0.000
8 Ge 0.414 0.175 0.589
9 Ge 0.458 0.750 0.708
10 Ge 0.542 0.250 0.292
11 Ge 0.586 0.825 0.411
12 Ge 0.750 0.750 0.000
13 Ge 0.914 0.325 0.239
14 Ge 0.958 0.250 0.708
15 Os 0.148 0.905 0.053
16 Os 0.250 0.750 0.500
17 Os 0.352 0.405 0.756
18 Os 0.648 0.595 0.244
19 Os 0.750 0.250 0.500
20 Os 0.852 0.095 0.947

Output
- total magnetization (μB/f.u.) = 0.00
- formation enthalpy at 0 K (eV per atom) = -0.449
- total DFT energy (no corrections) (eV per atom) = -7.4189
- Fermi-level density of states (states/eV/f.u.) = 2.6



8.
YGe3Os2: relaxed, PBE-GGA.

Cell: 6.342 6.342 8.480 Å, 90.00 90.00 140.73°
Fractional positions:
1 Y 0.185 0.815 0.750
2 Y 0.815 0.185 0.250
3 Ge 0.132 0.868 0.250
4 Ge 0.378 0.622 0.024
5 Ge 0.378 0.622 0.476
6 Ge 0.622 0.378 0.524
7 Ge 0.622 0.378 0.976
8 Ge 0.868 0.132 0.750
9 Os 0.000 0.000 0.000
10 Os 0.000 0.000 0.500
11 Os 0.470 0.530 0.750
12 Os 0.530 0.470 0.250

Output
- total magnetization (μB/f.u.) = 0.00
- formation enthalpy at 0 K (eV per atom) = -0.298
- total DFT energy (no corrections) (eV per atom) = -7.4272
- Fermi-level density of states (states/eV/f.u.) = 2.4



9.
Y5Ge10Os4: relaxed, PBE-GGA.

Cell: 13.111 13.111 4.337 Å, 90.00 90.00 90.00°
Fractional positions:
1 Y 0.000 0.000 0.000
2 Y 0.118 0.382 0.500
3 Y 0.173 0.673 0.500
4 Y 0.327 0.173 0.500
5 Y 0.382 0.882 0.500
6 Y 0.500 0.500 0.000
7 Y 0.618 0.118 0.500
8 Y 0.673 0.827 0.500
9 Y 0.827 0.327 0.500
10 Y 0.882 0.618 0.500
11 Ge 0.007 0.841 0.500
12 Ge 0.068 0.568 0.000
13 Ge 0.159 0.007 0.500
14 Ge 0.164 0.198 0.000
15 Ge 0.198 0.836 0.000
16 Ge 0.302 0.336 0.000
17 Ge 0.336 0.698 0.000
18 Ge 0.341 0.507 0.500
19 Ge 0.432 0.068 0.000
20 Ge 0.493 0.341 0.500
21 Ge 0.507 0.659 0.500
22 Ge 0.568 0.932 0.000
23 Ge 0.659 0.493 0.500
24 Ge 0.664 0.302 0.000
25 Ge 0.698 0.664 0.000
26 Ge 0.802 0.164 0.000
27 Ge 0.836 0.802 0.000
28 Ge 0.841 0.993 0.500
29 Ge 0.932 0.432 0.000
30 Ge 0.993 0.159 0.500
31 Os 0.019 0.753 0.000
32 Os 0.247 0.019 0.000
33 Os 0.253 0.519 0.000
34 Os 0.481 0.253 0.000
35 Os 0.519 0.747 0.000
36 Os 0.747 0.481 0.000
37 Os 0.753 0.981 0.000
38 Os 0.981 0.247 0.000

Output
- total magnetization (μB/f.u.) = 0.00
- formation enthalpy at 0 K (eV per atom) = -0.557
- total DFT energy (no corrections) (eV per atom) = -7.0520
- Fermi-level density of states (states/eV/f.u.) = 11.3



10.
YGe3Os3: relaxed, PBE-GGA.

Cell: 6.727 6.727 6.727 Å, 90.00 90.00 90.00°
Fractional positions:
1 Y 0.000 0.000 0.000
2 Y 0.500 0.500 0.500
3 Ge 0.000 0.250 0.500
4 Ge 0.000 0.750 0.500
5 Ge 0.250 0.500 0.000
6 Ge 0.500 0.000 0.250
7 Ge 0.500 0.000 0.750
8 Ge 0.750 0.500 0.000
9 Os 0.000 0.500 0.250
10 Os 0.000 0.500 0.750
11 Os 0.250 0.000 0.500
12 Os 0.500 0.250 0.000
13 Os 0.500 0.750 0.000
14 Os 0.750 0.000 0.500

Output
- total magnetization (μB/f.u.) = 0.00
- formation enthalpy at 0 K (eV per atom) = 0.481
- total DFT energy (no corrections) (eV per atom) = -7.2336
- Fermi-level density of states (states/eV/f.u.) = 2.9



11.
YGeOs: relaxed, PBE-GGA.

Cell: 13.309 13.309 13.309 Å, 23.71 23.71 23.71°
Fractional positions:
1 Y 0.040 0.040 0.040
2 Y 0.179 0.179 0.179
3 Y 0.268 0.268 0.268
4 Y 0.732 0.732 0.732
5 Y 0.821 0.821 0.821
6 Y 0.960 0.960 0.960
7 Ge 0.219 0.723 0.723
8 Ge 0.277 0.277 0.781
9 Ge 0.277 0.781 0.277
10 Ge 0.723 0.219 0.723
11 Ge 0.723 0.723 0.219
12 Ge 0.781 0.277 0.277
13 Os 0.000 0.500 0.500
14 Os 0.391 0.391 0.391
15 Os 0.500 0.000 0.500
16 Os 0.500 0.500 0.000
17 Os 0.500 0.500 0.500
18 Os 0.609 0.609 0.609

Output
- total magnetization (μB/f.u.) = 0.00
- formation enthalpy at 0 K (eV per atom) = -0.422
- total DFT energy (no corrections) (eV per atom) = -7.8591
- Fermi-level density of states (states/eV/f.u.) = 2.2



12.
Y3GeOs: relaxed, PBE-GGA.

Cell: 5.309 5.309 5.309 Å, 90.00 90.00 90.00°
Fractional positions:
1 Y 0.000 0.000 0.500
2 Y 0.000 0.500 0.000
3 Y 0.500 0.000 0.000
4 Ge 0.500 0.500 0.500
5 Os 0.000 0.000 0.000

Output
- total magnetization (μB/f.u.) = 0.00
- formation enthalpy at 0 K (eV per atom) = 0.012
- total DFT energy (no corrections) (eV per atom) = -7.0355
- Fermi-level density of states (states/eV/f.u.) = 3.7
- energy above the lowest structure with this stoichiometry (meV per atom) = 0



13.
YGeOs2: relaxed, PBE-GGA.

Cell: 9.497 9.497 9.497 Å, 153.82 153.82 37.36°
Fractional positions:
1 Y 0.000 0.000 0.000
2 Y 0.750 0.250 0.500
3 Ge 0.250 0.750 0.500
4 Ge 0.500 0.500 0.000
5 Os 0.243 0.625 0.118
6 Os 0.375 0.493 0.618
7 Os 0.507 0.125 0.882
8 Os 0.875 0.757 0.382

Output
- total magnetization (μB/f.u.) = 0.00
- formation enthalpy at 0 K (eV per atom) = 0.275
- total DFT energy (no corrections) (eV per atom) = -8.1101
- Fermi-level density of states (states/eV/f.u.) = 3.4



14.
Y4Ge8Os: relaxed, PBE-GGA.

Cell: 4.043 4.205 16.068 Å, 90.00 90.00 90.00°
Fractional positions:
1 Y 0.000 0.000 0.000
2 Y 0.000 0.500 0.487
3 Y 0.500 0.000 0.792
4 Y 0.500 0.500 0.286
5 Ge 0.000 0.000 0.332
6 Ge 0.000 0.000 0.624
7 Ge 0.000 0.500 0.140
8 Ge 0.000 0.500 0.856
9 Ge 0.500 0.000 0.145
10 Ge 0.500 0.000 0.440
11 Ge 0.500 0.500 0.620
12 Ge 0.500 0.500 0.960
13 Os 0.000 0.500 0.704

Output
- total magnetization (μB/f.u.) = 0.00
- formation enthalpy at 0 K (eV per atom) = -0.548
- total DFT energy (no corrections) (eV per atom) = -6.2418
- Fermi-level density of states (states/eV/f.u.) = 8.4



15.
Y2Ge4Os3: relaxed, PBE-GGA.

Cell: 7.924 6.853 5.581 Å, 78.44 57.93 43.64°
Fractional positions:
1 Y 0.131 0.131 0.869
2 Y 0.869 0.869 0.131
3 Ge 0.175 0.508 0.492
4 Ge 0.492 0.825 0.175
5 Ge 0.508 0.175 0.825
6 Ge 0.825 0.492 0.508
7 Os 0.000 0.000 0.500
8 Os 0.500 0.500 0.000
9 Os 0.500 0.500 0.500

Output
- total magnetization (μB/f.u.) = 0.00
- formation enthalpy at 0 K (eV per atom) = -0.314
- total DFT energy (no corrections) (eV per atom) = -7.5455
- Fermi-level density of states (states/eV/f.u.) = 10.2



16.
Y3Ge4Os2: relaxed, PBE-GGA.

Cell: 5.809 5.809 8.172 Å, 108.18 108.18 44.17°
Fractional positions:
1 Y 0.000 0.000 0.000
2 Y 0.379 0.379 0.301
3 Y 0.621 0.621 0.699
4 Ge 0.093 0.093 0.405
5 Ge 0.287 0.287 0.921
6 Ge 0.713 0.713 0.079
7 Ge 0.907 0.907 0.595
8 Os 0.319 0.319 0.639
9 Os 0.681 0.681 0.361

Output
- total magnetization (μB/f.u.) = 0.00
- formation enthalpy at 0 K (eV per atom) = -0.637
- total DFT energy (no corrections) (eV per atom) = -7.3394
- Fermi-level density of states (states/eV/f.u.) = 4.1



17.
ZnGe2Os2: relaxed, PBE-GGA.

Cell: 7.132 7.132 3.013 Å, 90.00 90.00 90.00°
Fractional positions:
1 Zn 0.000 0.000 0.000
2 Zn 0.500 0.500 0.000
3 Ge 0.150 0.350 0.500
4 Ge 0.350 0.850 0.500
5 Ge 0.650 0.150 0.500
6 Ge 0.850 0.650 0.500
7 Os 0.148 0.648 0.000
8 Os 0.352 0.148 0.000
9 Os 0.648 0.852 0.000
10 Os 0.852 0.352 0.000

Output
- total magnetization (μB/f.u.) = 0.00
- formation enthalpy at 0 K (eV per atom) = 0.154
- total DFT energy (no corrections) (eV per atom) = -6.4397
- Fermi-level density of states (states/eV/f.u.) = 2.0
- energy above the lowest structure with this stoichiometry (meV per atom) = 0



18.
Zn3GeOs: relaxed, PBE-GGA.

Cell: 4.786 4.786 4.786 Å, 90.00 90.00 90.00°
Fractional positions:
1 Zn 0.000 0.000 0.500
2 Zn 0.000 0.500 0.000
3 Zn 0.500 0.000 0.000
4 Ge 0.500 0.500 0.500
5 Os 0.000 0.000 0.000

Output
- total magnetization (μB/f.u.) = 0.00
- formation enthalpy at 0 K (eV per atom) = 0.790
- total DFT energy (no corrections) (eV per atom) = -3.1440
- Fermi-level density of states (states/eV/f.u.) = 2.4
- energy above the lowest structure with this stoichiometry (meV per atom) = 0



19.
Zn2Ge2Os: relaxed, PBE-GGA.

Cell: 6.483 6.483 3.839 Å, 90.00 90.00 90.00°
Fractional positions:
1 Zn 0.170 0.330 0.000
2 Zn 0.330 0.830 0.000
3 Zn 0.670 0.170 0.000
4 Zn 0.830 0.670 0.000
5 Ge 0.137 0.637 0.500
6 Ge 0.363 0.137 0.500
7 Ge 0.637 0.863 0.500
8 Ge 0.863 0.363 0.500
9 Os 0.000 0.000 0.500
10 Os 0.500 0.500 0.500

Output
- total magnetization (μB/f.u.) = 0.30
- formation enthalpy at 0 K (eV per atom) = 0.304
- total DFT energy (no corrections) (eV per atom) = -4.2981
- Fermi-level density of states (states/eV/f.u.) = 2.2



20.
ZnGeOs2: relaxed, PBE-GGA.

Cell: 5.608 5.608 5.608 Å, 102.15 102.15 125.39°
Fractional positions:
1 Zn 0.000 0.000 0.000
2 Zn 0.750 0.250 0.500
3 Ge 0.250 0.750 0.500
4 Ge 0.500 0.500 0.000
5 Os 0.147 0.625 0.022
6 Os 0.375 0.397 0.522
7 Os 0.603 0.125 0.978
8 Os 0.875 0.853 0.478

Output
- total magnetization (μB/f.u.) = 0.00
- formation enthalpy at 0 K (eV per atom) = 0.817
- total DFT energy (no corrections) (eV per atom) = -6.2710
- Fermi-level density of states (states/eV/f.u.) = 4.2



21.
ZnGeOs: relaxed, PBE-GGA.

Cell: 4.173 4.173 3.111 Å, 90.00 90.00 120.00°
Fractional positions:
1 Zn 0.000 0.000 0.000
2 Ge 0.667 0.333 0.500
3 Os 0.333 0.667 0.500

Output
- total magnetization (μB/f.u.) = 0.00
- formation enthalpy at 0 K (eV per atom) = 0.238
- total DFT energy (no corrections) (eV per atom) = -5.4693
- Fermi-level density of states (states/eV/f.u.) = 1.3



22.
ZnGe2Os: relaxed, PBE-GGA.

Cell: 6.748 6.748 6.748 Å, 128.32 128.32 76.11°
Fractional positions:
1 Zn 0.000 0.000 0.000
2 Zn 0.750 0.250 0.500
3 Ge 0.152 0.625 0.027
4 Ge 0.375 0.402 0.527
5 Ge 0.598 0.125 0.973
6 Ge 0.875 0.848 0.473
7 Os 0.250 0.750 0.500
8 Os 0.500 0.500 0.000

Output
- total magnetization (μB/f.u.) = 0.00
- formation enthalpy at 0 K (eV per atom) = 0.591
- total DFT energy (no corrections) (eV per atom) = -4.8433
- Fermi-level density of states (states/eV/f.u.) = 2.5